A relaxed structure of Hf6AlO. Source: Alexandria via LeMat-Bulk, functional PBE.

formation energy (no corrections)	-631	meV per atom
DFT total energy	-9.18	eV/atom
volume	19.55	Å³/atom

Unit cell a=6.9847 b=8.5360 c=5.5109 alpha=90.00 beta=107.85 gamma=90.00
Closest atoms and distances in Å follow each position.
Space group C2/m (No. 12)
One atom of each set of equivalent atoms:
Hf  0.0883  0.1954  0.2832  1 O 2.24
Hf  0.2167  0.5000  0.1084  1 O 2.24
Al  0.0000  0.5000  0.5000  12 Hf 2.99-3.23
O  0.0000  0.0000  0.0000  6 Hf 2.24